Compound: LaPb2
Source: Alexandria via LeMat-Bulk
Functional: PBE
Structure: relaxed

Lattice parameters (Å, degrees): 7.7576 7.7576 7.7576 90.00 90.00 90.00
With the nearest neighbours (Å) after each atom.
Fractional coordinates of all 12 atoms:
Pb 0.1137 0.8863 0.6137  1 Pb 3.06, 3 La 3.25
Pb 0.3863 0.1137 0.1137  1 Pb 3.06, 3 La 3.25
Pb 0.1137 0.6137 0.1137  1 Pb 3.06, 3 La 3.25
Pb 0.6137 0.6137 0.3863  1 Pb 3.06, 3 La 3.25
Pb 0.8863 0.3863 0.8863  1 Pb 3.06, 3 La 3.25
Pb 0.6137 0.8863 0.8863  1 Pb 3.06, 3 La 3.25
Pb 0.8863 0.1137 0.3863  1 Pb 3.06, 3 La 3.25
Pb 0.3863 0.3863 0.6137  1 Pb 3.06, 3 La 3.25
La 0.0000 0.0000 0.0000  6 Pb 3.25
La 0.5000 0.5000 0.0000  6 Pb 3.25
La 0.5000 0.0000 0.5000  6 Pb 3.25
La 0.0000 0.5000 0.5000  6 Pb 3.25

Properties
Total DFT energy (no corrections): -11.988 eV/f.u.
Energy of formation from the pure elements: 0.119 eV/atom